(1)
The following is a PBE calculation of crystalline GaGeB at its relaxed geometry, from Alexandria.

Output
The calculated total energy comes out at -27.142 eV for the cell shown. As for the energy above the most stable polymorph in this dataset: 30 meV/atom. The value obtained for the density is 5347 kg/m3. The value obtained for the formation enthalpy at 0 K is 0.25 eV/atom.

```
data_GaGeB
_space_group_name_H-M_alt 'P 1'
_space_group_IT_number 1
_cell_length_a 5.746
_cell_length_b 3.071
_cell_length_c 5.799
_cell_angle_alpha 90.00
_cell_angle_beta 111.63
_cell_angle_gamma 90.00
loop_
_space_group_symop_operation_xyz
'x,y,z'
loop_
_atom_site_label
_atom_site_fract_x
_atom_site_fract_y
_atom_site_fract_z
_atom_site_occupancy
Ga1 0.000 0.000 0.000 1
Ga2 0.302 0.000 0.435 1
Ge1 0.615 0.500 0.996 1
Ge2 0.723 0.000 0.405 1
B1 0.095 0.000 0.674 1
B2 0.230 0.500 0.738 1
```

---

(2)
The following is a PBE calculation of crystalline GaGeB at its relaxed geometry, from Alexandria.

Output
The calculated total energy comes out at -27.313 eV for the cell shown. As for the energy above the most stable polymorph in this dataset: 1 meV/atom. The value obtained for the density is 5488 kg/m3. The value obtained for the formation enthalpy at 0 K is 0.22 eV/atom.

```
data_GaGeB
_space_group_name_H-M_alt 'P 1'
_space_group_IT_number 1
_cell_length_a 5.613
_cell_length_b 3.066
_cell_length_c 5.816
_cell_angle_alpha 90.00
_cell_angle_beta 112.14
_cell_angle_gamma 90.00
loop_
_space_group_symop_operation_xyz
'x,y,z'
loop_
_atom_site_label
_atom_site_fract_x
_atom_site_fract_y
_atom_site_fract_z
_atom_site_occupancy
Ga1 0.205 0.250 0.123 1
Ga2 0.795 0.750 0.877 1
Ge1 0.204 0.250 0.552 1
Ge2 0.796 0.750 0.448 1
B1 0.469 0.250 0.930 1
B2 0.531 0.750 0.070 1
```

---

(3)
The following is a PBE calculation of crystalline Ga2GeB at its relaxed geometry, from Alexandria.

Output
The calculated total energy comes out at -31.173 eV for the cell shown. As for the energy above the most stable polymorph in this dataset: 0 meV/atom. The value obtained for the density is 5239 kg/m3. The value obtained for the formation enthalpy at 0 K is 0.44 eV/atom.

```
data_Ga2GeB
_space_group_name_H-M_alt 'P 1'
_space_group_IT_number 1
_cell_length_a 7.262
_cell_length_b 7.262
_cell_length_c 7.262
_cell_angle_alpha 142.45
_cell_angle_beta 142.45
_cell_angle_gamma 54.15
loop_
_space_group_symop_operation_xyz
'x,y,z'
loop_
_atom_site_label
_atom_site_fract_x
_atom_site_fract_y
_atom_site_fract_z
_atom_site_occupancy
Ga1 0.041 0.625 0.916 1
Ga2 0.375 0.291 0.416 1
Ga3 0.709 0.125 0.084 1
Ga4 0.875 0.959 0.584 1
Ge1 0.250 0.750 0.500 1
Ge2 0.500 0.500 0.000 1
B1 0.000 0.000 0.000 1
B2 0.750 0.250 0.500 1
```

---

(4)
The following is a PBE calculation of crystalline GaGeB at its relaxed geometry, from Alexandria.

Output
The calculated total energy comes out at -26.578 eV for the cell shown. As for the energy above the most stable polymorph in this dataset: 124 meV/atom. The value obtained for the density is 4739 kg/m3. The value obtained for the formation enthalpy at 0 K is 0.34 eV/atom.

```
data_GaGeB
_space_group_name_H-M_alt 'P 1'
_space_group_IT_number 1
_cell_length_a 3.594
_cell_length_b 4.962
_cell_length_c 6.491
_cell_angle_alpha 102.31
_cell_angle_beta 97.30
_cell_angle_gamma 104.74
loop_
_space_group_symop_operation_xyz
'x,y,z'
loop_
_atom_site_label
_atom_site_fract_x
_atom_site_fract_y
_atom_site_fract_z
_atom_site_occupancy
Ga1 0.000 0.000 0.000 1
Ga2 0.398 0.654 0.457 1
Ge1 0.197 0.428 0.842 1
Ge2 0.614 0.082 0.302 1
B1 0.742 0.601 0.772 1
B2 0.857 0.463 0.532 1
```

---

(5)
The following is a PBE calculation of crystalline GaGeB at its relaxed geometry, from Alexandria.

Output
The calculated total energy comes out at -26.894 eV for the cell shown. As for the energy above the most stable polymorph in this dataset: 71 meV/atom. The value obtained for the density is 5290 kg/m3. The value obtained for the formation enthalpy at 0 K is 0.29 eV/atom.

```
data_GaGeB
_space_group_name_H-M_alt 'P 1'
_space_group_IT_number 1
_cell_length_a 3.044
_cell_length_b 5.751
_cell_length_c 5.887
_cell_angle_alpha 68.93
_cell_angle_beta 89.94
_cell_angle_gamma 89.98
loop_
_space_group_symop_operation_xyz
'x,y,z'
loop_
_atom_site_label
_atom_site_fract_x
_atom_site_fract_y
_atom_site_fract_z
_atom_site_occupancy
Ga1 0.000 0.000 0.000 1
Ga2 0.498 0.425 0.863 1
Ge1 0.995 0.420 0.242 1
Ge2 0.995 0.978 0.571 1
B1 0.497 0.708 0.502 1
B2 0.998 0.725 0.368 1
```

---

(6)
The following is a PBE calculation of crystalline LiGaGeB2 at its relaxed geometry, from Alexandria.

Output
The calculated total energy comes out at -17.118 eV for the cell shown. The value obtained for the density is 3514 kg/m3. The value obtained for the formation enthalpy at 0 K is 1.16 eV/atom.

```
data_LiGaGeB2
_space_group_name_H-M_alt 'P 1'
_space_group_IT_number 1
_cell_length_a 4.108
_cell_length_b 4.108
_cell_length_c 4.788
_cell_angle_alpha 90.00
_cell_angle_beta 90.00
_cell_angle_gamma 90.00
loop_
_space_group_symop_operation_xyz
'x,y,z'
loop_
_atom_site_label
_atom_site_fract_x
_atom_site_fract_y
_atom_site_fract_z
_atom_site_occupancy
Li1 0.000 0.000 0.000 1
Ga1 0.500 0.500 0.000 1
Ge1 0.000 0.000 0.500 1
B1 0.000 0.500 0.500 1
B2 0.500 0.000 0.500 1
```

---

(7)
The following is a PBE calculation of crystalline GaGeBOs2 at its relaxed geometry, from Alexandria.

Output
The calculated total energy comes out at -33.695 eV for the cell shown. The value obtained for the density is 12487 kg/m3. The value obtained for the formation enthalpy at 0 K is 0.62 eV/atom.

```
data_GaGeBOs2
_space_group_name_H-M_alt 'P 1'
_space_group_IT_number 1
_cell_length_a 4.212
_cell_length_b 4.212
_cell_length_c 4.001
_cell_angle_alpha 90.00
_cell_angle_beta 90.00
_cell_angle_gamma 90.00
loop_
_space_group_symop_operation_xyz
'x,y,z'
loop_
_atom_site_label
_atom_site_fract_x
_atom_site_fract_y
_atom_site_fract_z
_atom_site_occupancy
Ga1 0.000 0.000 0.000 1
Ge1 0.500 0.500 0.000 1
B1 0.500 0.500 0.500 1
Os1 0.000 0.500 0.500 1
Os2 0.500 0.000 0.500 1
```

---

(8)
The following is a PBE calculation of crystalline GaGeB2Ru at its relaxed geometry, from Alexandria.

Output
The calculated total energy comes out at -21.646 eV for the cell shown. The value obtained for the density is 5636 kg/m3. The value obtained for the formation enthalpy at 0 K is 1.73 eV/atom.

```
data_GaGeB2Ru
_space_group_name_H-M_alt 'P 1'
_space_group_IT_number 1
_cell_length_a 3.880
_cell_length_b 3.880
_cell_length_c 5.188
_cell_angle_alpha 90.00
_cell_angle_beta 90.00
_cell_angle_gamma 90.00
loop_
_space_group_symop_operation_xyz
'x,y,z'
loop_
_atom_site_label
_atom_site_fract_x
_atom_site_fract_y
_atom_site_fract_z
_atom_site_occupancy
Ga1 0.000 0.000 0.000 1
Ge1 0.000 0.000 0.500 1
B1 0.000 0.500 0.000 1
B2 0.500 0.000 0.000 1
Ru1 0.500 0.500 0.500 1
```

---

Q: formation enthalpy at 0 K of number 4 (GaGeB)?
A: 0.34 eV/atom